Ac6PS3N2 PBE relaxed; energy relative to the elements, uncorrected = -1606.6 meV/atom; SG = No. 12
1.0
-1.318 3.598 -1.634
-6.796 -0.156 5.137
7.150 2.735 5.567
Ac P S N
6 1 3 2
direct
0.331 0.889 0.663
0.676 0.565 0.352
0.669 0.111 0.337
0.013 0.256 0.025
0.987 0.744 0.975
0.324 0.435 0.648
0.500 0.000 0.000
0.500 0.500 0.000
0.837 0.169 0.674
0.163 0.831 0.326
0.827 0.661 0.654
0.173 0.339 0.346